{
  "formula": "RbTbHg3Se4",
  "functional": "PBE",
  "state": "relaxed",
  "e_tot_ev_per_cell": -53.30,
  "volume_a3_per_cell": 582.22,
  "rho_g_cm3": 6.6,
  "magmom_total_mub_per_fu": 0.002,
  "lattice_angstrom": [[6.535, 0.000, 0.000], [0.000, 7.909, 0.000], [-2.913, 0.000, 11.266]],
  "species": ["Rb", "Rb", "Tb", "Tb", "Hg", "Hg", "Hg", "Hg", "Hg", "Hg", "Se", "Se", "Se", "Se", "Se", "Se", "Se", "Se"],
  "frac_coords": [[0.236, 0.250, 0.329], [0.764, 0.750, 0.671], [0.471, 0.750, 0.210], [0.529, 0.250, 0.790], [0.018, 0.250, 0.658], [0.287, 0.526, 0.946], [0.287, 0.974, 0.946], [0.713, 0.026, 0.054], [0.713, 0.474, 0.054], [0.982, 0.750, 0.342], [0.052, 0.750, 0.042], [0.257, 0.524, 0.708], [0.257, 0.976, 0.708], [0.375, 0.750, 0.422], [0.625, 0.250, 0.578], [0.743, 0.024, 0.292], [0.743, 0.476, 0.292], [0.948, 0.250, 0.958]]
}